# Sm5TmZn4 | Alexandria | PBE | relaxed
data_Sm5TmZn4
_chemical_formula_sum 'Sm5 Tm1 Zn4'
_space_group_name_H-M_alt 'P 4/m m m'
_space_group_IT_number 123
_space_group_name_Hall '-P 4 2'
_cell_length_a 3.6358
_cell_length_b 3.6358
_cell_length_c 19.5060
_cell_angle_alpha 90.00
_cell_angle_beta 90.00
_cell_angle_gamma 90.00
loop_
_atom_site_label
_atom_site_type_symbol
_atom_site_fract_x
_atom_site_fract_y
_atom_site_fract_z
Sm1 Sm 0.0000 0.0000 0.0000
Sm2 Sm 0.0000 0.0000 0.1862
Sm3 Sm 0.0000 0.0000 0.3723
Tm1 Tm 0.5000 0.5000 0.5000
Zn1 Zn 0.5000 0.5000 0.0938
Zn2 Zn 0.5000 0.5000 0.2800
# Volume: 25.8 Å³/atom
# Total magnetization: 0.00 μB/f.u.
# ΔH_f (0 K): -248 meV/atom